[1]
Below is crystalline Y3Tm6Sc at its relaxed geometry, with properties calculated at the PBE level.

Output
**Crystal system**: trigonal
**Total magnetization**: 1.57 μB per cell
**N(E_F)**: 1.936 states/eV/atom
**Formation energy**: 26 kJ per mole of atoms

a b c (Å): 9.676 9.676 6.774
angles (deg): 44.42 44.42 60.00
Atoms (fractional coordinates):
Sc  0.854  0.854  0.437
Tm  0.443  0.762  0.706
Tm  0.934  0.602  0.211
Tm  0.089  0.443  0.706
Tm  0.252  0.934  0.211
Tm  0.762  0.089  0.706
Tm  0.602  0.252  0.211
Y  0.608  0.608  0.177
Y  0.356  0.356  0.931
Y  0.099  0.099  0.702

=====

[2]
Below is crystalline CeEuCuRh at its relaxed geometry, with properties calculated at the PBE level.

Output
**Crystal system**: cubic
**Total magnetization**: 7.80 μB per cell
**N(E_F)**: 1.894 states/eV/atom
**Formation energy**: -29 kJ per mole of atoms

a b c (Å): 4.995 4.995 4.995
angles (deg): 60.00 60.00 60.00
Atoms (fractional coordinates):
Ce  0.250  0.250  0.250
Cu  0.500  0.500  0.500
Rh  0.000  0.000  0.000
Eu  0.750  0.750  0.750

=====

[3]
Below is crystalline LiGa4Ni2Rh at its relaxed geometry, with properties calculated at the PBE level.

Output
**Crystal system**: trigonal
**Total magnetization**: 0.00 μB per cell
**N(E_F)**: 0.440 states/eV/atom
**Formation energy**: -41 kJ per mole of atoms

a b c (Å): 4.219 4.219 7.293
angles (deg): 73.18 73.18 60.00
Atoms (fractional coordinates):
Ga  0.874  0.874  0.377
Ga  0.374  0.374  0.879
Ga  0.626  0.626  0.121
Ga  0.126  0.126  0.623
Ni  0.252  0.252  0.244
Ni  0.748  0.748  0.756
Rh  0.500  0.500  0.500
Li  0.000  0.000  0.000

=====

[4]
Below is crystalline MnFe2CoC at its relaxed geometry, with properties calculated at the PBE level.

Output
**Crystal system**: tetragonal
**Total magnetization**: 4.61 μB per cell
**N(E_F)**: 1.233 states/eV/atom
**Formation energy**: 11 kJ per mole of atoms

a b c (Å): 3.739 3.739 3.729
angles (deg): 90.00 90.00 90.00
Atoms (fractional coordinates):
Fe  0.000  0.500  0.000
Fe  0.500  0.000  0.000
C  0.000  0.000  0.000
Mn  0.500  0.500  0.500
Co  0.000  0.000  0.500

=====

[5]
Below is crystalline PmGa4Pd4 at its relaxed geometry, with properties calculated at the PBE level.

Output
**Crystal system**: tetragonal
**Total magnetization**: 0.00 μB per cell
**N(E_F)**: 0.476 states/eV/atom
**Formation energy**: -64 kJ per mole of atoms

a b c (Å): 6.132 6.132 8.611
angles (deg): 90.00 90.00 90.00
Atoms (fractional coordinates):
Pd  0.500  0.230  0.112
Pd  0.270  0.000  0.612
Pd  0.730  0.000  0.612
Pd  0.000  0.270  0.388
Pd  0.230  0.500  0.888
Pd  0.770  0.500  0.888
Pd  0.500  0.770  0.112
Pd  0.000  0.730  0.388
Ga  0.500  0.208  0.817
Ga  0.708  0.000  0.317
Ga  0.792  0.500  0.183
Ga  0.208  0.500  0.183
Ga  0.292  0.000  0.317
Ga  0.000  0.708  0.683
Ga  0.500  0.792  0.817
Ga  0.000  0.292  0.683
Pm  0.000  0.000  0.000
Pm  0.500  0.500  0.500

=====

[6]
Below is crystalline LiLa3Co at its relaxed geometry, with properties calculated at the PBE level.

Output
**Crystal system**: monoclinic
**Total magnetization**: 0.00 μB per cell
**N(E_F)**: 1.055 states/eV/atom
**Formation energy**: -3 kJ per mole of atoms

a b c (Å): 5.624 6.742 9.298
angles (deg): 110.31 89.98 114.70
Atoms (fractional coordinates):
La  0.154  0.308  0.661
La  0.106  0.212  0.234
La  0.628  0.257  0.927
La  0.372  0.743  0.073
La  0.894  0.788  0.766
La  0.846  0.692  0.339
Co  0.122  0.246  0.936
Co  0.878  0.754  0.064
Li  0.590  0.181  0.447
Li  0.410  0.819  0.553

=====

[7]
Below is crystalline PmInN at its relaxed geometry, with properties calculated at the PBE level.

Output
**E_form (uncorrected)**: -0.509 eV per atom
**Crystal system**: trigonal
**Total magnetization**: 0.00 μB per cell
**N(E_F)**: 0.583 states/eV/atom

a b c (Å): 5.444 3.766 3.766
angles (deg): 120.00 90.00 90.00
Atoms (fractional coordinates):
Pm  0.121  0.000  0.000
In  0.615  0.667  0.333
N  0.264  0.333  0.667

=====

[8]
Below is crystalline LiSm5Cd4 at its relaxed geometry, with properties calculated at the PBE level.

Output
**Crystal system**: tetragonal
**Total magnetization**: 1.36 μB per cell
**N(E_F)**: 1.226 states/eV/atom
**Formation energy**: -23 kJ per mole of atoms

a b c (Å): 3.826 3.826 18.865
angles (deg): 90.00 90.00 90.00
Atoms (fractional coordinates):
Sm  0.500  0.500  0.500
Sm  0.500  0.500  0.100
Sm  0.500  0.500  0.701
Sm  0.500  0.500  0.900
Sm  0.500  0.500  0.299
Cd  0.000  0.000  0.197
Cd  0.000  0.000  0.601
Cd  0.000  0.000  0.803
Cd  0.000  0.000  0.399
Li  0.000  0.000  0.000

=====

Quick rundown of calculated volume, same order as above: 31.1 22.0 13.2 10.4 18.0 29.6 22.3 27.6 Å³ per atom